VASP calculation (PBE) on a relaxed Mg2Cd3Hg7 crystal.

## Properties
**Final energy**: -0.679 eV/atom
**E_form**: -0.0086 eV/atom
**Space group**: Cmmm (65)

a b c (Å): 11.8501 11.8501 5.1052
angles (deg): 90.00 90.00 155.07
Closest atoms and distances in Å follow each position.
Fractional positions:
Mg  0.1503  0.8497  0.0000  7 Hg 2.98-3.05
Mg  0.8497  0.1503  0.0000  7 Hg 2.98-3.05
Cd  0.3405  0.6595  0.5000  6 Hg 2.92-3.17
Cd  0.5000  0.5000  0.5000  8 Hg 3.13-3.21
Cd  0.6595  0.3405  0.5000  6 Hg 2.92-3.17
Hg  0.0000  0.0000  0.0000  8 Hg 3.13-3.21, 2 Mg 3.48
Hg  0.0839  0.9161  0.5000  2 Mg 2.98, 4 Cd 3.10-3.21, 2 Hg 3.21
Hg  0.2794  0.7206  0.0000  2 Hg 2.90, 2 Cd 2.92, 3 Mg 2.99-3.03
Hg  0.4218  0.5782  0.0000  2 Mg 3.05, 4 Cd 3.13-3.17, 3 Hg 3.13-3.29
Hg  0.5782  0.4218  0.0000  2 Mg 3.05, 4 Cd 3.13-3.17, 3 Hg 3.13-3.29
Hg  0.7206  0.2794  0.0000  2 Hg 2.90, 2 Cd 2.92, 3 Mg 2.99-3.03
Hg  0.9161  0.0839  0.5000  2 Mg 2.98, 4 Cd 3.10-3.21, 2 Hg 3.21